(1)
! NiAg2Te | the Alexandria database | PBE-GGA | relaxed; values from VASP
! Raw total energy, eV/atom: -3.51
! Crystal system: orthorhombic
&SYSTEM
  ibrav = 0, nat = 4, ntyp = 3
/
ATOMIC_SPECIES
Ag 107.87 Ag.upf
Ni 58.69 Ni.upf
Te 127.60 Te.upf
CELL_PARAMETERS angstrom
-6.497 0.011 -0.016
-4.273 -3.190 3.711
5.000 4.061 -0.842
ATOMIC_POSITIONS angstrom
Ag -0.205 -0.060 0.070
Ag -2.639 1.478 0.220
Ni -5.235 -1.545 1.796
Te -3.076 -0.580 2.615


(2)
! NiAg2Te | the Alexandria database | PBE-GGA | relaxed; values from VASP
! Raw total energy, eV/atom: -3.34
! Crystal system: tetragonal
&SYSTEM
  ibrav = 0, nat = 4, ntyp = 3
/
ATOMIC_SPECIES
Ag 107.87 Ag.upf
Ni 58.69 Ni.upf
Te 127.60 Te.upf
CELL_PARAMETERS angstrom
3.105 0.047 0.000
-0.045 3.105 0.000
0.000 0.000 8.062
ATOMIC_POSITIONS angstrom
Ag 0.000 0.000 0.470
Ag 0.000 0.000 3.561
Ni 1.530 1.576 2.015
Te 1.530 1.576 6.046